! GGA-PBE TiNb2GeAs, relaxed; values from VASP
&SYSTEM
  ibrav = 0, nat = 5, ntyp = 4
/
ATOMIC_SPECIES
Ti 47.87 Ti.upf
Nb 92.91 Nb.upf
Ge 72.64 Ge.upf
As 74.92 As.upf
ATOMIC_POSITIONS crystal
Ti 0.000 0.000 0.000
Nb 0.000 0.500 0.000
Nb 0.500 0.000 0.000
Ge 0.500 0.500 0.500
As 0.000 0.000 0.500
CELL_PARAMETERS angstrom
4.824 0.000 0.000
0.000 4.824 0.000
0.000 0.000 4.616
! E_form, meV per atom: 957
! Symmetry: No. 123
! Uncorrected energy, eV/cell: -32.52

***

! GGA-PBE Nd6GeAs5, relaxed; values from VASP
&SYSTEM
  ibrav = 0, nat = 12, ntyp = 3
/
ATOMIC_SPECIES
Nd 144.24 Nd.upf
Ge 72.64 Ge.upf
As 74.92 As.upf
ATOMIC_POSITIONS crystal
Nd 0.080 0.417 0.750
Nd 0.248 0.248 0.251
Nd 0.417 0.080 0.750
Nd 0.583 0.920 0.250
Nd 0.752 0.752 0.749
Nd 0.920 0.583 0.250
Ge 0.500 0.500 0.000
As 0.000 0.000 0.500
As 0.166 0.834 0.000
As 0.333 0.667 0.500
As 0.667 0.333 0.500
As 0.834 0.166 0.000
CELL_PARAMETERS angstrom
3.706 -6.418 0.000
3.706 6.418 0.000
-2.468 0.000 6.965
! E_form, meV per atom: -1360
! Symmetry: No. 12
! Uncorrected energy, eV/cell: -72.79

***

! GGA-PBE Nd6GeAs4, relaxed; values from VASP
&SYSTEM
  ibrav = 0, nat = 22, ntyp = 3
/
ATOMIC_SPECIES
Nd 144.24 Nd.upf
Ge 72.64 Ge.upf
As 74.92 As.upf
ATOMIC_POSITIONS crystal
Nd 0.000 0.000 0.000
Nd 0.000 0.000 0.500
Nd 0.191 0.809 0.750
Nd 0.274 0.726 0.084
Nd 0.274 0.726 0.416
Nd 0.453 0.547 0.665
Nd 0.453 0.547 0.835
Nd 0.547 0.453 0.165
Nd 0.547 0.453 0.335
Nd 0.726 0.274 0.584
Nd 0.726 0.274 0.916
Nd 0.809 0.191 0.250
Ge 0.161 0.839 0.250
Ge 0.839 0.161 0.750
As 0.090 0.910 0.629
As 0.090 0.910 0.871
As 0.362 0.638 0.543
As 0.362 0.638 0.957
As 0.638 0.362 0.043
As 0.638 0.362 0.457
As 0.910 0.090 0.129
As 0.910 0.090 0.371
CELL_PARAMETERS angstrom
2.131 -7.016 0.000
2.131 7.016 0.000
0.000 0.000 21.210
! E_form, meV per atom: -1264
! Symmetry: No. 63
! Uncorrected energy, eV/cell: -131.44